{"formula": "RbLiAc", "functional": "PBE", "state": "optimized geometry", "lattice_angstrom": [[-3.347, -0.812, -2.035], [3.470, -1.637, -1.123], [-3.532, -15.790, 12.108]], "species": ["Rb", "Li", "Ac", "Li", "Ac", "Rb"], "frac_coords": [[0.274, 0.548, 0.169], [0.283, 0.566, 0.500], [0.616, 0.232, 0.637], [0.604, 0.208, 0.000], [0.616, 0.232, 0.363], [0.274, 0.548, 0.831]], "magnetic_moment_mub_per_cell": 0.0, "vol_a3_per_atom": 46.64, "e_form_ev_per_atom": 0.2875}

***

{"formula": "RbLi2Ac", "functional": "PBE", "state": "optimized geometry", "lattice_angstrom": [[4.043, 0.000, 0.000], [0.000, 4.043, 0.000], [0.000, 0.000, 9.862]], "species": ["Li", "Li", "Rb", "Ac"], "frac_coords": [[0.000, 0.000, 0.211], [0.000, 0.000, 0.789], [0.500, 0.500, 0.500], [0.500, 0.500, 0.000]], "magnetic_moment_mub_per_cell": 0.0, "vol_a3_per_atom": 40.31, "e_form_ev_per_atom": 0.2067}

***

{"formula": "RbLiAc2S4", "functional": "PBE", "state": "optimized geometry", "lattice_angstrom": [[4.393, 0.000, 0.000], [-2.196, 7.339, 0.000], [0.000, 0.000, 14.873]], "species": ["Rb", "Li", "S", "S", "S", "S", "Ac", "S", "S", "Li", "Ac", "Ac", "Rb", "S", "S", "Ac"], "frac_coords": [[0.895, 0.791, 0.250], [0.167, 0.335, 0.250], [0.581, 0.162, 0.250], [0.419, 0.838, 0.750], [0.000, 0.000, 0.500], [0.000, 0.000, 0.000], [0.367, 0.733, 0.560], [0.258, 0.517, 0.389], [0.258, 0.517, 0.111], [0.833, 0.665, 0.750], [0.633, 0.267, 0.440], [0.633, 0.267, 0.060], [0.105, 0.209, 0.750], [0.742, 0.483, 0.611], [0.742, 0.483, 0.889], [0.367, 0.733, 0.940]], "magnetic_moment_mub_per_cell": 0.0, "vol_a3_per_atom": 29.97, "total_energy_ev_per_cell": -85.104}